Here is crystalline LiCu3Si2O6 at its relaxed geometry from Alexandria. Energies are from PBE-GGA.

```
LiCu3Si2O6
1.0
2.420 -4.189 0.000
2.420 4.189 0.000
-1.616 0.000 5.678
Li Cu Si O
1 3 2 6
Cartesian
0.000 0.000 0.000
1.612 2.745 2.839
1.612 0.000 2.839
1.612 -2.745 2.839
2.420 1.396 0.000
2.420 -1.396 0.000
1.520 2.635 0.961
1.704 2.635 4.717
1.803 0.000 0.966
1.421 0.000 4.712
1.520 -2.635 0.961
1.704 -2.635 4.717
```

## Properties
- ΔE_f (raw) (meV per atom) = -1767.8
- space group = C2/m
- DOS(E_F) (states/eV per atom) = 0.0000

Here is crystalline LiSm2Cu2O6 at its relaxed geometry from Alexandria. Energies are from PBE-GGA.

```
LiSm2Cu2O6
1.0
2.812 1.624 5.291
-2.812 1.624 5.291
0.000 -3.248 5.291
Li Sm Cu O
1 2 2 6
Cartesian
0.000 0.000 0.000
0.000 0.000 3.276
0.000 0.000 12.596
0.000 0.000 6.628
0.000 0.000 9.244
-1.559 -0.900 9.094
0.000 -1.800 6.778
-1.559 0.900 6.778
1.559 -0.900 9.094
0.000 1.800 9.094
1.559 0.900 6.778
```

## Properties
- ΔE_f (raw) (meV per atom) = -1622.0
- space group = R-3m
- DOS(E_F) (states/eV per atom) = 0.5575

Here is crystalline Li2CuSnO4 at its relaxed geometry from Alexandria. Energies are from PBE-GGA.

```
Li2CuSnO4
1.0
-2.939 3.026 4.717
2.939 -3.026 4.717
2.939 3.026 -4.717
Li Cu Sn O
4 2 2 8
Cartesian
0.000 0.000 0.000
-1.469 1.513 2.358
0.000 3.026 0.000
1.469 1.513 2.358
1.469 1.513 -2.358
1.469 -1.513 2.358
2.939 0.000 0.000
0.000 0.000 4.717
2.939 -0.152 2.106
2.939 2.873 -2.106
1.489 1.513 0.195
4.388 1.513 0.195
-1.450 1.513 4.522
1.450 1.513 4.522
0.000 0.152 6.823
0.000 3.178 2.611
```

## Properties
- energy above the lowest structure with this stoichiometry (eV per atom) = 0.002
- ΔE_f (raw) (meV per atom) = -1487.1
- space group = Imma

Here is crystalline Li5Cu5Sn2O12 at its relaxed geometry from Alexandria. Energies are from PBE-GGA.

```
Li5Cu5Sn2O12
1.0
2.762 -4.389 0.000
2.762 4.389 0.000
-0.554 0.000 10.051
Li Cu Sn O
5 5 2 12
Cartesian
0.000 0.000 0.000
1.087 -0.192 7.683
1.103 -1.618 2.387
3.883 -0.192 2.368
3.867 -1.618 7.664
1.350 1.276 2.542
2.485 2.630 5.026
2.485 -0.154 5.026
3.620 1.276 7.509
2.762 -1.603 0.000
2.762 1.393 0.000
2.485 -3.159 5.026
2.026 2.700 1.423
1.398 1.225 6.221
0.832 -0.117 3.816
2.944 2.700 8.628
2.054 -0.138 1.257
1.399 -1.722 6.152
3.573 1.225 3.831
2.916 -0.138 8.795
1.827 -2.966 1.036
4.139 -0.117 6.236
3.572 -1.722 3.899
3.143 -2.966 9.015
```

## Properties
- ΔE_f (raw) (meV per atom) = -1232.7
- space group = C2
- DOS(E_F) (states/eV per atom) = 0.2869

Here is crystalline Li2CuSnO4 at its relaxed geometry from Alexandria. Energies are from PBE-GGA.

```
Li2CuSnO4
1.0
5.518 0.000 0.000
0.000 3.002 0.000
-2.559 0.000 5.087
Li Cu Sn O
2 1 1 4
Cartesian
0.000 0.000 0.000
-1.279 1.501 2.543
1.480 0.000 2.543
2.759 1.501 0.000
-0.732 0.000 3.955
1.065 1.501 1.260
1.894 1.501 3.826
3.692 0.000 1.132
```

## Properties
- energy above the lowest structure with this stoichiometry (eV per atom) = 0.000
- ΔE_f (raw) (meV per atom) = -1489.6
- space group = P2/m
- DOS(E_F) (states/eV per atom) = 0.0037

Here is crystalline Li2CuSnO4 at its relaxed geometry from Alexandria. Energies are from PBE-GGA.

```
Li2CuSnO4
1.0
4.231 0.000 0.000
0.000 4.231 0.000
0.000 0.000 8.910
Li Cu Sn O
4 2 2 8
Cartesian
0.000 0.000 0.000
0.000 2.116 2.227
2.116 0.000 6.682
2.116 2.116 4.455
0.000 2.116 6.682
2.116 0.000 2.227
0.000 0.000 4.455
2.116 2.116 0.000
0.000 0.000 2.402
0.000 0.000 6.508
0.000 2.116 4.510
0.000 2.116 8.854
2.116 0.000 0.055
2.116 0.000 4.399
2.116 2.116 2.053
2.116 2.116 6.857
```

## Properties
- energy above the lowest structure with this stoichiometry (eV per atom) = 0.012
- ΔE_f (raw) (meV per atom) = -1477.9
- space group = I-4m2
- DOS(E_F) (states/eV per atom) = 0.2836